Entry 1:
Entry from Alexandria: a relaxed Sr2TlHg crystal (GGA-PBE).

Properties
DOS(E_F), states/eV/f.u.: 4.588
E_tot, eV/atom: -1.348
Total magnetic moment, μB/f.u.: 0.0

Unit cell a=3.991 b=6.890 c=13.357 alpha=90.00 beta=90.00 gamma=90.00
Space group Immm (No. 71)
Inequivalent atoms, fractional coordinates:
Sr  0.000  0.000  0.239 x4
Tl  0.000  0.000  0.500 x2
Hg  0.000  0.000  0.000 x2

***

Entry 2:
Entry from Alexandria: a relaxed CdAsRh2 crystal (GGA-PBE).

Properties
DOS(E_F), states/eV/f.u.: 1.479
Energy above the most stable polymorph in this dataset, kJ/mol of formula units: 75
Total magnetic moment, μB/f.u.: 0.0

Unit cell a=7.024 b=7.024 c=5.755 alpha=90.00 beta=90.00 gamma=90.00
Space group I-42d (No. 122)
Inequivalent atoms, fractional coordinates:
Cd  0.000  0.000  0.000 x4
As  0.000  0.000  0.500 x4
Rh  0.193  0.250  0.625 x8

***

Entry 3:
Entry from Alexandria: a relaxed As3WBr crystal (GGA-PBE).

Properties
DOS(E_F), states/eV/f.u.: 2.193
Energy above the most stable polymorph in this dataset, kJ/mol of formula units: 748
Raw formation energy, meV per atom: 1904.7
Total magnetic moment, μB/f.u.: 2.4

Unit cell a=4.916 b=4.916 c=4.916 alpha=90.00 beta=90.00 gamma=90.00
Space group Pm-3m (No. 221)
Inequivalent atoms, fractional coordinates:
As  0.000  0.000  0.500 x3
W  0.500  0.500  0.500 x1
Br  0.000  0.000  0.000 x1

***

Entry 4:
Entry from Alexandria: a relaxed V2Ag2B crystal (GGA-PBE).

Properties
DOS(E_F), states/eV/f.u.: 3.996
Energy above the most stable polymorph in this dataset, kJ/mol of formula units: 78
Total magnetic moment, μB/f.u.: 0.0

Unit cell a=3.207 b=3.207 c=14.797 alpha=90.00 beta=90.00 gamma=90.00
Space group I4/mmm (No. 139)
Inequivalent atoms, fractional coordinates:
V  0.000  0.500  0.250 x4
Ag  0.000  0.000  0.091 x4
B  0.000  0.000  0.500 x2

***

Entry 5:
Entry from Alexandria: a relaxed B2C crystal (GGA-PBE).

Properties
DOS(E_F), states/eV/f.u.: 0.402
Energy above the most stable polymorph in this dataset, kJ/mol of formula units: 94
Total magnetic moment, μB/f.u.: 0.0

Unit cell a=2.6894 b=2.6894 c=12.8414 alpha=90.00 beta=90.00 gamma=120.00
Space group P3m1 (No. 156)
Inequivalent atoms, fractional coordinates:
B  0.0000  0.0000  0.0000 x1
B  0.0000  0.0000  0.1311 x1
B  0.0000  0.0000  0.5865 x1
B  0.3333  0.6667  0.0826 x1
B  0.3333  0.6667  0.2142 x1
B  0.3333  0.6667  0.7520 x1
B  0.6667  0.3333  0.2936 x1
B  0.6667  0.3333  0.9169 x1
C  0.0000  0.0000  0.4519 x1
C  0.3333  0.6667  0.6241 x1
C  0.6667  0.3333  0.4166 x1
C  0.6667  0.3333  0.7989 x1

***

Entry 6:
Entry from Alexandria: a relaxed HoPu2MnC4 crystal (GGA-PBE).

Properties
DOS(E_F), states/eV/f.u.: 12.519
E_tot, eV/atom: -9.878
Total magnetic moment, μB/f.u.: 9.9

Unit cell a=3.478 b=11.147 c=11.982 alpha=90.00 beta=90.00 gamma=90.00
Space group Cmcm (No. 63)
Inequivalent atoms, fractional coordinates:
Ho  0.000  0.105  0.250 x4
Pu  0.000  0.368  0.045 x8
Mn  0.000  0.165  0.750 x4
C  0.000  0.000  0.000 x4
C  0.000  0.265  0.631 x8
C  0.000  0.419  0.250 x4

***

Entry 7:
Entry from Alexandria: a relaxed Hf2VCuN crystal (GGA-PBE).

Properties
DOS(E_F), states/eV/f.u.: 4.147
Raw formation energy, meV per atom: -674.5
Total magnetic moment, μB/f.u.: 0.0

Unit cell a=4.418 b=4.418 c=3.837 alpha=90.00 beta=90.00 gamma=90.00
Space group P4/mmm (No. 123)
Inequivalent atoms, fractional coordinates:
Hf  0.000  0.500  0.000 x2
V  0.000  0.000  0.500 x1
Cu  0.500  0.500  0.500 x1
N  0.000  0.000  0.000 x1

***

Entry 8:
Entry from Alexandria: a relaxed KHoP crystal (GGA-PBE).

Properties
DOS(E_F), states/eV/f.u.: 1.494
E_tot, eV/atom: -4.273
Total magnetic moment, μB/f.u.: 0.0

Unit cell a=4.2139 b=4.2139 c=7.4416 alpha=90.00 beta=90.00 gamma=120.00
Space group P3m1 (No. 156)
Inequivalent atoms, fractional coordinates:
K  0.0000  0.0000  0.0000 x1
Ho  0.3333  0.6667  0.4543 x1
P  0.6667  0.3333  0.3061 x1